# PBE with a Hubbard U Co2CCl2O3, relaxed
data_Co2CCl2O3
_chemical_formula_sum 'Co4 C2 Cl4 O6'
_space_group_name_H-M_alt 'P 1 21/m 1'
_space_group_IT_number 11
_space_group_name_Hall '-P 2yb'
_cell_length_a 4.804
_cell_length_b 6.004
_cell_length_c 8.213
_cell_angle_alpha 90.00
_cell_angle_beta 103.10
_cell_angle_gamma 90.00
loop_
_atom_site_label
_atom_site_type_symbol
_atom_site_fract_x
_atom_site_fract_y
_atom_site_fract_z
_atom_site_occupancy
Co1 Co 0.000 0.000 0.000 1
Co2 Co 0.279 0.250 0.727 1
C1 C 0.437 0.750 0.864 1
Cl1 Cl 0.201 0.750 0.222 1
Cl2 Cl 0.222 0.250 0.459 1
O1 O 0.286 0.250 0.098 1
O2 O 0.296 0.564 0.851 1
# total energy: -91.653 eV/cell
# crystal system: monoclinic